No. 1
VASP calculation (PBE) on crystalline AlCd4Se at its relaxed geometry.

a = 5.850 Å, b = 5.850 Å, c = 5.850 Å
α = 60.00°, β = 60.00°, γ = 60.00°
Atoms (fractional coordinates):
Al 0.000 0.000 0.000
Cd 0.124 0.625 0.625
Cd 0.625 0.124 0.625
Cd 0.625 0.625 0.124
Cd 0.625 0.625 0.625
Se 0.250 0.250 0.250

Calculated values
energy	-1.5651	eV per atom
formation energy without anion corrections	0.249	eV/atom
DOS at the Fermi energy	3.29	states/eV/f.u.
M_tot	0.00	μB per cell

No. 2
VASP calculation (PBE) on crystalline Nd3Ho2Er2 at its relaxed geometry.

a = 6.212 Å, b = 6.212 Å, c = 10.746 Å
α = 95.66°, β = 95.66°, γ = 33.59°
Atoms (fractional coordinates):
Nd 0.000 0.000 0.000
Nd 0.142 0.142 0.572
Nd 0.858 0.858 0.428
Ho 0.285 0.285 0.141
Ho 0.715 0.715 0.859
Er 0.427 0.427 0.717
Er 0.573 0.573 0.283

Calculated values
energy	-4.6368	eV per atom
excess energy over the best structure of this formula in the dataset	0	meV/atom
DOS at the Fermi energy	8.74	states/eV/f.u.
energy of formation from the pure elements	0.018	eV per atom
M_tot	0.00	μB per cell